Entry 1:
{
  "formula": "Cs2K4Br3F2",
  "functional": "PBE",
  "state": "optimized geometry",
  "spacegroup": "No. 139",
  "volume_a3_per_cell": 446.8,
  "m_tot_mub_per_cell": 0.00,
  "lattice": [[-2.6124, 2.6124, 16.3661], [2.6124, -2.6124, 16.3661], [2.6124, 2.6124, -16.3661]],
  "species": ["Cs", "Cs", "K", "K", "K", "K", "Br", "Br", "Br", "F", "F"],
  "frac_coords": [[0.1786, 0.1786, 0.0000], [0.8214, 0.8214, 0.0000], [0.0701, 0.5701, 0.5000], [0.4299, 0.9299, 0.5000], [0.5701, 0.0701, 0.5000], [0.9299, 0.4299, 0.5000], [0.3661, 0.3661, 0.0000], [0.5000, 0.5000, 0.0000], [0.6339, 0.6339, 0.0000], [0.0811, 0.0811, 0.0000], [0.9189, 0.9189, 0.0000]]
}



Entry 2:
{
  "formula": "Na2RuPbO6",
  "functional": "PBE",
  "state": "optimized geometry",
  "spacegroup": "No. 99",
  "volume_a3_per_cell": 149.9,
  "m_tot_mub_per_cell": 1.01,
  "lattice": [[5.8119, 0.0000, 0.0000], [0.0000, 5.8119, 0.0000], [0.0000, 0.0000, 4.4389]],
  "species": ["Na", "Na", "Ru", "Pb", "O", "O", "O", "O", "O", "O"],
  "frac_coords": [[0.0000, 0.5000, 0.0000], [0.5000, 0.0000, 0.0000], [0.0000, 0.0000, 0.5852], [0.5000, 0.5000, 0.6137], [0.0000, 0.0000, 0.1951], [0.2199, 0.2199, 0.6985], [0.2199, 0.7801, 0.6985], [0.5000, 0.5000, 0.1261], [0.7801, 0.2199, 0.6985], [0.7801, 0.7801, 0.6985]]
}



Entry 3:
{
  "formula": "FeRh2Br",
  "functional": "PBE",
  "state": "optimized geometry",
  "spacegroup": "No. 99",
  "volume_a3_per_cell": 63.1,
  "m_tot_mub_per_cell": 2.75,
  "polymorph_energy_mev_per_atom": 153,
  "lattice": [[2.9914, 0.0000, 0.0000], [0.0000, 2.9914, 0.0000], [0.0000, 0.0000, 7.0476]],
  "species": ["Fe", "Rh", "Rh", "Br"],
  "frac_coords": [[0.0000, 0.0000, 0.0000], [0.0000, 0.0000, 0.4593], [0.5000, 0.5000, 0.2208], [0.5000, 0.5000, 0.7443]]
}



Here are the calculated calculated total energy numbers, same order: -3.246; -5.554; -5.759 (eV per atom).
Here are the calculated DOS at the Fermi energy numbers, same order: 0.11; 0.20; 1.42 (states/eV/atom).